Record 1
An optimized crystal structure of Al3IrRu, computed with PBE.

Cell lengths 4.589, 4.589, 4.589 Å; angles 90.00, 90.00, 90.00 degrees
Element x y z (fractional)
Al  0.000  0.000  0.500
Al  0.000  0.500  0.000
Al  0.500  0.000  0.000
Ir  0.000  0.000  0.000
Ru  0.500  0.500  0.500

Distance to the lowest polymorph of the same formula (meV/atom): 0
E_form (eV/f.u.): 1.85
Raw total energy (eV/cell): -27.511
V (Å³/cell): 97

=====

Record 2
An optimized crystal structure of AlIr2Ru, computed with PBE.

Cell lengths 8.656, 8.656, 8.656 Å; angles 18.48, 18.48, 18.48 degrees
Element x y z (fractional)
Al  0.000  0.000  0.000
Ir  0.252  0.252  0.252
Ir  0.748  0.748  0.748
Ru  0.500  0.500  0.500

E_form (eV/f.u.): -1.08
Raw total energy (eV/cell): -31.820
V (Å³/cell): 57

=====

Record 3
An optimized crystal structure of AlIrRu4, computed with PBE.

Cell lengths 5.046, 5.046, 5.046 Å; angles 60.00, 60.00, 60.00 degrees
Element x y z (fractional)
Al  0.000  0.000  0.000
Ir  0.250  0.250  0.250
Ru  0.126  0.625  0.625
Ru  0.625  0.126  0.625
Ru  0.625  0.625  0.126
Ru  0.625  0.625  0.625

E_form (eV/f.u.): 2.68
Raw total energy (eV/cell): -47.026
V (Å³/cell): 91

=====

The lowest raw total energy belongs to which entry? AlIrRu4

=====

Which formula does entry 3 have? AlIrRu4

=====

Which of these has the lowest E_form? AlIr2Ru